(1)
Below is a relaxed structure of YNi6B3, with properties calculated at the GGA-PBE level.

Summary:
Space group: R3, No. 146
Calculated density (g cm⁻³): 7.230
DFT total energy (eV/cell): -64.1

Cell and atoms, written as POSCAR:
```
YNi6B3
1.0
4.3659 0.0002 -2.3395
-2.8100 4.0790 -0.0001
0.3248 0.2239 5.8497
Y Ni B
1 6 3
Cartesian
1.6427 4.1391 3.0658
0.3579 1.7648 3.2596
-0.9482 2.6198 1.0901
2.9584 0.4051 -0.1857
-1.0797 3.7846 3.2843
2.5454 1.7218 2.1033
1.2953 2.2596 0.0209
2.2282 1.5351 4.1583
-0.1599 2.8974 4.9453
0.8884 0.6121 1.6579
```

=====

(2)
Below is a relaxed structure of VTc2As4, with properties calculated at the GGA-PBE level.

Summary:
Space group: C2/m, No. 12
Calculated density (g cm⁻³): 7.459
Polymorph energy (0 for the lowest one) (eV per atom): 0.0000
DFT total energy (eV/cell): -50.5

Cell and atoms, written as POSCAR:
```
VTc2As4
1.0
3.1873 0.0000 0.0000
0.0000 6.3741 0.2471
-1.5937 -2.8404 5.8798
V Tc As
1 2 4
Cartesian
0.0000 0.0000 0.0000
1.5937 3.0084 3.1111
0.0000 0.5253 3.0158
1.5937 -1.0704 4.1226
0.0000 4.6041 2.0043
1.5937 1.4667 1.2062
0.0000 2.0670 4.9208
```

=====

(3)
Below is a relaxed structure of ErMgZnAu, with properties calculated at the GGA-PBE level.

Summary:
Space group: F-43m, No. 216
Calculated density (g cm⁻³): 9.420
DFT total energy (eV/cell): -13.0

Cell and atoms, written as POSCAR:
```
ErMgZnAu
1.0
-1.8904 -0.2174 -4.4469
2.2915 -2.4496 -3.4849
-1.8419 -4.1593 -1.6442
Zn Au Mg Er
1 1 1 1
Cartesian
-0.7204 -3.4132 -4.7880
0.0000 0.0000 0.0000
-0.3602 -1.7066 -2.3940
-1.0806 -5.1197 -7.1821
```

=====

(4)
Below is a relaxed structure of DyZn2SiNi2, with properties calculated at the GGA-PBE level.

Summary:
Space group: P4/mmm, No. 123
Calculated density (g cm⁻³): 7.235
Energy relative to the elements, uncorrected (eV per atom): -0.2938
DFT total energy (eV/cell): -25.9

Cell and atoms, written as POSCAR:
```
DyZn2SiNi2
1.0
4.2694 0.0000 0.0000
0.0000 4.2694 0.0000
0.0000 0.0000 5.5248
Dy Zn Si Ni
1 2 1 2
Cartesian
0.0000 0.0000 2.7624
2.1347 2.1347 4.0611
2.1347 2.1347 1.4637
0.0000 0.0000 0.0000
2.1347 0.0000 0.0000
0.0000 2.1347 0.0000
```

=====

(5)
Below is a relaxed structure of Pr2HoTi, with properties calculated at the GGA-PBE level.

Summary:
Space group: R-3m, No. 166
Calculated density (g cm⁻³): 6.788
DFT total energy (eV/cell): -20.2

Cell and atoms, written as POSCAR:
```
Pr2HoTi
1.0
-3.1363 1.3290 0.2317
-2.7213 -1.8951 -0.8121
-2.7128 -3.9616 11.1582
Pr Ho Ti
2 1 1
Cartesian
-2.5241 -3.0253 8.3412
-6.0462 -1.5023 2.2365
-4.2852 -2.2638 5.2889
0.0000 0.0000 0.0000
```

=====

(6)
Below is a relaxed structure of LaSi2PtI, with properties calculated at the GGA-PBE level.

Summary:
Space group: P4/mmm, No. 123
Calculated density (g cm⁻³): 4.537
Energy relative to the elements, uncorrected (eV per atom): 1.3852
DFT total energy (eV/cell): -16.4

Cell and atoms, written as POSCAR:
```
LaSi2PtI
1.0
-0.0285 -0.6914 -5.6112
-1.6196 -5.6514 0.7046
-5.4380 1.5382 -0.1619
I Si Pt La
1 2 1 1
Cartesian
-0.8098 -2.8257 0.3523
-2.7190 0.7691 -0.0810
-0.0142 -0.3457 -2.8056
-3.5431 -2.4023 -2.5343
0.0000 0.0000 0.0000
```

=====

(7)
Below is a relaxed structure of KHfN2O, with properties calculated at the GGA-PBE level.

Summary:
Space group: P4/mmm, No. 123
Calculated density (g cm⁻³): 6.471
Energy relative to the elements, uncorrected (eV per atom): 1.6997
DFT total energy (eV/cell): -24.2

Cell and atoms, written as POSCAR:
```
KHfN2O
1.0
-2.8847 -2.5094 -1.4560
1.9262 -3.1920 1.6852
-2.1267 0.4928 3.3644
K Hf O N
1 1 1 2
Cartesian
0.0000 0.0000 0.0000
-1.5426 -2.6043 1.7968
-1.0634 0.2464 1.6822
0.9631 -1.5960 0.8426
-1.4423 -1.2547 -0.7280
```

=====

(8)
Below is a relaxed structure of Pm2NdDyEr4, with properties calculated at the GGA-PBE level.

Summary:
Space group: Imma, No. 74
Calculated density (g cm⁻³): 7.900
DFT total energy (eV/cell): -67.5

Cell and atoms, written as POSCAR:
```
Pm2NdDyEr4
1.0
-2.1595 -8.1396 4.4056
2.6524 -5.0996 -7.5687
5.1172 9.6341 4.5022
Pm Nd Dy Er
4 2 2 8
Cartesian
-1.0797 -4.0698 2.2028
1.4789 0.7472 4.4539
2.5586 4.8170 2.2511
0.2464 -6.6196 -1.5815
1.3262 -2.5498 -3.7843
1.7253 -5.8724 2.8724
2.8051 -1.8025 0.6696
2.9577 1.4945 8.9078
1.4647 -5.8518 -4.6080
1.6137 -2.5533 3.6291
3.9964 -1.0517 -2.2898
4.1454 2.2466 5.9472
5.4716 -0.3216 2.1158
2.9445 -5.0855 -0.1092
2.6657 1.4804 1.4482
0.1386 -3.2834 -0.7767
```

=====

(9)
Below is a relaxed structure of KBeV2I, with properties calculated at the GGA-PBE level.

Summary:
Space group: P4/mmm, No. 123
Calculated density (g cm⁻³): 2.723
Energy relative to the elements, uncorrected (eV per atom): 2.2598
DFT total energy (eV/cell): -13.3

Cell and atoms, written as POSCAR:
```
KBeV2I
1.0
-2.9626 -2.0618 4.3557
-3.9359 -1.2691 -3.2777
2.3283 -5.0890 -0.8253
I Be K V
1 1 1 2
Cartesian
-2.2851 -4.2100 0.1263
-1.9679 -0.6346 -1.6389
0.0000 0.0000 0.0000
1.1641 -2.5445 -0.4127
-1.4813 -1.0309 2.1779
```

=====

(10)
Below is a relaxed structure of SrRe2H, with properties calculated at the GGA-PBE level.

Summary:
Space group: I4_1/amd, No. 141
Calculated density (g cm⁻³): 11.442
Polymorph energy (0 for the lowest one) (eV per atom): 0.0000
DFT total energy (eV/cell): -54.9

Cell and atoms, written as POSCAR:
```
SrRe2H
1.0
-0.5837 -0.0549 -5.7063
3.6488 -4.4139 -0.3308
-1.5780 -4.8315 -2.6754
Re H Sr
4 2 2
Cartesian
-0.1573 -1.7802 -2.8503
1.6671 -3.9872 -3.0153
0.8780 -6.4028 -4.3531
0.5864 -6.4305 -7.2063
1.5326 -2.2344 -3.0186
1.8017 -5.7399 -3.0123
0.0000 0.0000 0.0000
-0.3146 -3.5604 -5.7001
```

=====

(11)
Below is a relaxed structure of TcPt3Pb, with properties calculated at the GGA-PBE level.

Summary:
Space group: Pm-3m, No. 221
Calculated density (g cm⁻³): 12.835
Polymorph energy (0 for the lowest one) (eV per atom): 0.0000
DFT total energy (eV/cell): -28.2

Cell and atoms, written as POSCAR:
```
TcPt3Pb
1.0
-3.1764 3.6639 -0.4035
-1.3004 -1.6123 -4.4029
-3.4490 -2.7664 2.0317
Pb Tc Pt
1 1 3
Cartesian
-3.9629 -0.3574 -1.3874
0.0000 0.0000 0.0000
-0.6502 -0.8061 -2.2015
-1.7245 -1.3832 1.0158
-1.5882 1.8319 -0.2018
```

=====

(12)
Below is a relaxed structure of AgIr3, with properties calculated at the GGA-PBE level.

Summary:
Space group: Fm-3m, No. 225
Calculated density (g cm⁻³): 18.382
DFT total energy (eV/cell): -26.8

Cell and atoms, written as POSCAR:
```
AgIr3
1.0
4.4387 0.0000 0.0000
2.2193 3.8440 0.0000
2.2193 1.2813 3.6242
Ir Ag
3 1
Cartesian
2.2193 1.2813 0.9060
4.4387 2.5627 1.8121
6.6580 3.8440 2.7181
0.0000 0.0000 0.0000
```

=====

These records have size of the total moment values of 0.00; 0.88; 0.00; 0.00; 1.39; 0.00; 0.34; 2.70; 9.17; 0.00; 0.00; 0.03 μB/f.u., in the order they appear.